[1]
Material: SmGaNi3
Method: DFT, PBE
State: relaxed

Cell: 5.037 6.239 6.239 Å, 66.00 66.19 66.19°
Fractional coordinates of all 10 atoms:
Sm 0.500 0.500 0.500
Sm 0.500 0.000 0.000
Ga 0.969 0.781 0.281
Ga 0.031 0.219 0.719
Ni 0.190 0.746 0.874
Ni 0.190 0.374 0.246
Ni 0.810 0.626 0.754
Ni 0.810 0.254 0.126
Ni 0.500 0.000 0.500
Ni 0.000 0.000 0.500

Output
ΔH_f (0 K), eV/atom: -0.31
Space-group type: Imma
Magnetic moment, μB/f.u.: 0.0


[2]
Material: Sm2Ga2Ni15
Method: DFT, PBE
State: relaxed

Cell: 6.342 6.342 6.342 Å, 82.63 82.63 82.63°
Last column: magnetic moment on the atom in μB.
Fractional coordinates of all 19 atoms:
Sm 0.349 0.349 0.349  -0.03
Sm 0.651 0.651 0.651  -0.03
Ga 0.103 0.103 0.103  -0.01
Ga 0.897 0.897 0.897  -0.01
Ni 0.500 0.000 0.000  0.26
Ni 0.000 0.000 0.500  0.26
Ni 0.000 0.500 0.000  0.26
Ni 0.000 0.704 0.296  0.26
Ni 0.704 0.296 0.000  0.26
Ni 0.296 0.000 0.704  0.26
Ni 0.296 0.704 0.000  0.26
Ni 0.704 0.000 0.296  0.26
Ni 0.000 0.296 0.704  0.26
Ni 0.152 0.656 0.656  0.26
Ni 0.656 0.656 0.152  0.26
Ni 0.656 0.152 0.656  0.26
Ni 0.848 0.344 0.344  0.26
Ni 0.344 0.344 0.848  0.26
Ni 0.344 0.848 0.344  0.26

Output
ΔH_f (0 K), eV/atom: -0.25
Space-group type: R-3m
Magnetic moment, μB/f.u.: 3.6


[3]
Material: Sm2Ga5Ni5
Method: DFT, PBE
State: relaxed

Cell: 3.878 5.253 9.405 Å, 90.00 90.00 90.00°
Fractional coordinates of all 12 atoms:
Sm 0.000 0.500 0.000
Sm 0.000 0.000 0.500
Ga 0.000 0.500 0.332
Ga 0.000 0.000 0.813
Ga 0.000 0.000 0.187
Ga 0.000 0.500 0.668
Ga 0.500 0.000 0.000
Ni 0.500 0.500 0.500
Ni 0.500 0.743 0.247
Ni 0.500 0.257 0.753
Ni 0.500 0.257 0.247
Ni 0.500 0.743 0.753

Output
ΔH_f (0 K), eV/atom: -0.50
Space-group type: Pmmm
Magnetic moment, μB/f.u.: 0.0


[4]
Material: Sm3GaNi3
Method: DFT, PBE
State: relaxed

Cell: 4.146 5.464 13.375 Å, 90.00 90.00 112.29°
Fractional coordinates of all 14 atoms:
Sm 0.216 0.432 0.896
Sm 0.784 0.568 0.104
Sm 0.216 0.432 0.604
Sm 0.784 0.568 0.396
Sm 0.499 0.998 0.750
Sm 0.501 0.002 0.250
Ga 0.500 0.000 0.000
Ga 0.500 0.000 0.500
Ni 0.926 0.852 0.911
Ni 0.074 0.148 0.089
Ni 0.926 0.852 0.589
Ni 0.074 0.148 0.411
Ni 0.798 0.597 0.750
Ni 0.202 0.403 0.250

Output
ΔH_f (0 K), eV/atom: -0.47
Space-group type: Cmcm
Magnetic moment, μB/f.u.: 0.0


[5]
Material: Sm3Ga4Ni2
Method: DFT, PBE
State: relaxed

Cell: 4.299 5.768 8.492 Å, 109.65 90.00 111.88°
Fractional coordinates of all 9 atoms:
Sm 0.678 0.357 0.643
Sm 0.000 0.000 0.000
Sm 0.322 0.643 0.357
Ga 0.737 0.474 0.083
Ga 0.263 0.526 0.917
Ga 0.972 0.945 0.641
Ga 0.028 0.055 0.359
Ni 0.601 0.202 0.268
Ni 0.399 0.798 0.732

Output
ΔH_f (0 K), eV/atom: -0.61
Space-group type: C2/m
Magnetic moment, μB/f.u.: 0.0


[6]
Material: SmGa2Ni3
Method: DFT, PBE
State: relaxed

Cell: 8.857 8.857 4.114 Å, 90.00 90.00 120.00°
Fractional coordinates of all 18 atoms:
Sm 0.667 0.333 0.500
Sm 0.333 0.667 0.500
Sm 0.000 0.000 0.000
Ga 0.273 0.273 0.500
Ga 0.727 0.000 0.500
Ga 0.000 0.727 0.500
Ga 0.525 0.525 0.000
Ga 0.475 0.000 0.000
Ga 0.000 0.475 0.000
Ni 0.796 0.171 0.000
Ni 0.829 0.625 0.000
Ni 0.375 0.204 0.000
Ni 0.171 0.796 0.000
Ni 0.625 0.829 0.000
Ni 0.204 0.375 0.000
Ni 0.711 0.711 0.500
Ni 0.289 0.000 0.500
Ni 0.000 0.289 0.500

Output
ΔH_f (0 K), eV/atom: -0.54
Space-group type: P-62m
Magnetic moment, μB/f.u.: 0.0


[7]
Material: Sm4Ga12Ni
Method: DFT, PBE
State: relaxed

Cell: 7.526 7.526 7.526 Å, 109.47 109.47 109.47°
Fractional coordinates of all 17 atoms:
Sm 0.000 0.000 0.500
Sm 0.500 0.000 0.000
Sm 0.500 0.500 0.500
Sm 0.000 0.500 0.000
Ga 0.000 0.288 0.288
Ga 0.000 0.712 0.712
Ga 0.712 0.712 0.000
Ga 0.288 0.288 0.000
Ga 0.288 0.000 0.288
Ga 0.712 0.000 0.712
Ga 0.500 0.250 0.750
Ga 0.500 0.750 0.250
Ga 0.750 0.250 0.500
Ga 0.250 0.750 0.500
Ga 0.750 0.500 0.250
Ga 0.250 0.500 0.750
Ni 0.000 0.000 0.000

Output
ΔH_f (0 K), eV/atom: -0.58
Space-group type: Im-3m
Magnetic moment, μB/f.u.: 0.0


[8]
Material: SmGa9Ni3
Method: DFT, PBE
State: relaxed

Cell: 5.254 6.644 6.809 Å, 82.04 67.31 68.96°
Fractional coordinates of all 13 atoms:
Sm 0.000 0.000 0.000
Ga 0.701 0.789 0.778
Ga 0.299 0.211 0.222
Ga 0.520 0.211 0.778
Ga 0.480 0.789 0.222
Ga 0.649 0.336 0.360
Ga 0.351 0.664 0.640
Ga 0.991 0.664 0.360
Ga 0.009 0.336 0.640
Ga 0.000 0.500 0.000
Ni 0.500 0.500 0.000
Ni 0.000 0.000 0.500
Ni 0.500 0.000 0.500

Output
ΔH_f (0 K), eV/atom: -0.34
Space-group type: C2/m
Magnetic moment, μB/f.u.: 0.0